Entry 1:
VASP calculation (PBE) on PmSm2Sn after structural relaxation.

ΔH_f (0 K)   -0.45 eV/atom
Energy above the most stable polymorph in this dataset   0.000 eV/f.u.

Lattice parameters (Å, degrees): 4.8995 4.9058 4.9058 90.00 90.00 90.00
Last column: nearest neighbours and their distance in Å.
Fractional positions:
Sn (0.5000, 0.0000, 0.0000)  8 Sm 3.47, 4 Pm 3.47
Sm (0.0000, 0.0000, 0.5000)  4 Sn 3.47, 4 Pm 3.47, 4 Sm 3.47
Sm (0.0000, 0.5000, 0.0000)  4 Sn 3.47, 4 Pm 3.47, 4 Sm 3.47
Pm (0.5000, 0.5000, 0.5000)  8 Sm 3.47, 4 Sn 3.47


Entry 2:
VASP calculation (PBE) on Na3Pu2NpTe6 after structural relaxation.

Formation energy (no corrections)   -0.97 eV per atom

Lattice parameters (Å, degrees): 7.7821 7.7821 7.9063 99.44 99.44 120.00
Last column: nearest neighbours and their distance in Å.
Fractional positions:
Na (0.1672, 0.8328, 0.5000)  6 Te 3.26-3.28
Na (0.8328, 0.1672, 0.5000)  6 Te 3.26-3.28
Na (0.5000, 0.5000, 0.5000)  6 Te 3.26-3.29
Pu (0.3334, 0.6666, 0.0000)  6 Te 3.13-3.14
Pu (0.6666, 0.3334, 0.0000)  6 Te 3.13-3.14
Np (0.0000, 0.0000, 0.0000)  6 Te 3.11
Te (0.9221, 0.5915, 0.7663)  1 Np 3.11, 2 Pu 3.14, 3 Na 3.26-3.28
Te (0.7473, 0.7473, 0.2334)  1 Np 3.11, 2 Pu 3.13, 3 Na 3.27-3.29
Te (0.0779, 0.4085, 0.2337)  1 Np 3.11, 2 Pu 3.14, 3 Na 3.26-3.28
Te (0.5915, 0.9221, 0.7663)  1 Np 3.11, 2 Pu 3.14, 3 Na 3.26-3.28
Te (0.2527, 0.2527, 0.7666)  1 Np 3.11, 2 Pu 3.13, 3 Na 3.27-3.29
Te (0.4085, 0.0779, 0.2337)  1 Np 3.11, 2 Pu 3.14, 3 Na 3.26-3.28


Entry 3:
VASP calculation (PBE) on NiSnPCl2 after structural relaxation.

Formation energy (no corrections)   -0.05 eV per atom
Energy above the most stable polymorph in this dataset   0.000 eV/f.u.

Lattice parameters (Å, degrees): 4.5374 4.5374 4.8598 90.00 90.00 90.00
Last column: nearest neighbours and their distance in Å.
Fractional positions:
Ni (0.0000, 0.0000, 0.0000)  4 Cl 2.27, 2 P 2.43
Sn (0.5000, 0.5000, 0.5000)  4 P 3.21, 8 Cl 3.32
P (0.0000, 0.0000, 0.5000)  2 Ni 2.43
Cl (0.0000, 0.5000, 0.0000)  2 Ni 2.27
Cl (0.5000, 0.0000, 0.0000)  2 Ni 2.27


We obtain VASP energy values of -4.99, -6.34, -3.83 eV/atom for the records listed above, in that order.